5
Lattice="3.7498 0.0000 0.0000 0.0000 3.7498 0.0000 0.0000 0.0000 3.7498" Properties=species:S:1:pos:R:3 comment="PmH3Pd PBE-GGA relaxed" magnetic_moment_mub_per_cell=0.00 energy_ha_per_atom=-0.166 spacegroup="Pm-3m, No. 221" pbc="T T T"
Pd 0.0000 0.0000 0.0000
H 0.0000 1.8749 0.0000
Pm 1.8749 1.8749 1.8749
H 0.0000 0.0000 1.8749
H 1.8749 0.0000 0.0000